{"formula": "Ca2Cu3PdAu12", "functional": "PBE", "state": "relaxed", "magmom_total_mub_per_fu": 0.000, "delta_e_f_ev_per_atom": 0.023, "total_energy_ev_per_atom": -3.356, "lattice_angstrom": [[-3.262, 6.870, -3.106], [-0.546, 0.728, -8.164], [-7.431, -0.423, -3.477]], "species": ["Au", "Au", "Ca", "Au", "Cu", "Au", "Au", "Au", "Au", "Au", "Pd", "Au", "Cu", "Au", "Au", "Ca", "Au", "Cu"], "fractional_positions": [[0.613, 0.133, 0.133], [0.133, 0.133, 0.613], [0.384, 0.384, 0.384], [0.133, 0.613, 0.133], [0.500, 0.000, 0.000], [0.121, 0.632, 0.632], [0.387, 0.867, 0.867], [0.867, 0.387, 0.867], [0.879, 0.368, 0.368], [0.368, 0.879, 0.368], [0.000, 0.000, 0.000], [0.867, 0.867, 0.387], [0.000, 0.500, 0.000], [0.632, 0.632, 0.121], [0.368, 0.368, 0.879], [0.616, 0.616, 0.616], [0.632, 0.121, 0.632], [0.000, 0.000, 0.500]]}